1.
A geometry-optimized KHfReN4 structure, computed with PBE.

abc: 5.7626 6.0444 7.5547
angles: 90.00 106.09 90.00
With the nearest neighbours (Å) after each atom.
Fractional coordinates of all 14 atoms:
K: 0.2271 0.2500 0.4377  2 N 2.64-2.76
K: 0.7729 0.7500 0.5623  2 N 2.64-2.76
Hf: 0.3269 0.2500 0.9570  6 N 2.16-2.30
Hf: 0.6731 0.7500 0.0430  6 N 2.16-2.30
Re: 0.2034 0.7500 0.1377  4 N 1.76-1.88
Re: 0.7966 0.2500 0.8623  4 N 1.76-1.88
N: 0.0075 0.2500 0.7196  1 Re 1.83
N: 0.0080 0.2500 0.0809  1 Re 1.76
N: 0.4259 0.5197 0.1515  1 Re 1.88
N: 0.4259 0.9803 0.1515  1 Re 1.88
N: 0.5741 0.0197 0.8485  1 Re 1.88
N: 0.5741 0.4803 0.8485  1 Re 1.88
N: 0.9920 0.7500 0.9191  1 Re 1.76
N: 0.9925 0.7500 0.2804  1 Re 1.83

## Properties
ΔE_f (raw) = -4.1 eV per formula unit

=====

2.
A geometry-optimized LiInCo2Te structure, computed with PBE.

abc: 4.7758 4.7758 4.8172
angles: 90.00 90.00 90.00
With the nearest neighbours (Å) after each atom.
Fractional coordinates of all 5 atoms:
Li: 0.0000 0.0000 0.0000  2 In 2.41
In: 0.0000 0.0000 0.5000  4 Co 2.39, 2 Li 2.41
Co: 0.0000 0.5000 0.5000  2 In 2.39
Co: 0.5000 0.0000 0.5000  2 In 2.39
Te: 0.5000 0.5000 0.0000  4 Li 3.38, 8 Co 3.39

## Properties
ΔE_f (raw) = 4.2 eV per formula unit

=====

3.
A geometry-optimized Y2ZrO2 structure, computed with PBE.

abc: 3.8022 3.8022 15.4324
angles: 90.00 90.00 90.00
With the nearest neighbours (Å) after each atom.
Fractional coordinates of all 10 atoms:
Y: 0.0000 0.0000 0.1755  4 O 2.22
Y: 0.0000 0.0000 0.8245  4 O 2.22
Y: 0.5000 0.5000 0.3245  4 O 2.22
Y: 0.5000 0.5000 0.6755  4 O 2.22
Zr: 0.0000 0.0000 0.5000  4 Zr 3.80, 8 Y 3.82
Zr: 0.5000 0.5000 0.0000  4 Zr 3.80, 8 Y 3.82
O: 0.0000 0.5000 0.2500  4 Y 2.22
O: 0.0000 0.5000 0.7500  4 Y 2.22
O: 0.5000 0.0000 0.2500  4 Y 2.22
O: 0.5000 0.0000 0.7500  4 Y 2.22

## Properties
ΔE_f (raw) = -9.7 eV per formula unit
Polymorph energy (0 for the lowest one) = 0.000 eV/atom

=====

4.
A geometry-optimized SrCd6In12 structure, computed with PBE.

abc: 8.4950 8.4950 8.4950
angles: 105.05 105.05 105.05
With the nearest neighbours (Å) after each atom.
Fractional coordinates of all 19 atoms:
Sr: 0.0000 0.0000 0.0000  6 In 3.50
Cd: 0.2904 0.6951 0.6951  8 In 3.03-3.30, 2 Cd 3.38
Cd: 0.3049 0.3048 0.7096  8 In 3.03-3.30, 2 Cd 3.38
Cd: 0.3049 0.7096 0.3049  8 In 3.03-3.30, 2 Cd 3.38
Cd: 0.6951 0.2904 0.6951  8 In 3.03-3.30, 2 Cd 3.38
Cd: 0.6951 0.6951 0.2904  8 In 3.03-3.30, 2 Cd 3.38
Cd: 0.7096 0.3049 0.3049  8 In 3.03-3.30, 2 Cd 3.38
In: 0.1115 0.5000 0.8885  3 In 3.01-3.20, 4 Cd 3.03-3.25
In: 0.1115 0.8885 0.5000  3 In 3.01-3.20, 4 Cd 3.03-3.25
In: 0.1253 0.3692 0.3692  4 Cd 3.05-3.30, 4 In 3.20-3.29
In: 0.3692 0.1253 0.3692  4 Cd 3.05-3.30, 4 In 3.20-3.29
In: 0.3692 0.3692 0.1253  4 Cd 3.05-3.30, 4 In 3.20-3.29
In: 0.5000 0.1115 0.8885  3 In 3.01-3.20, 4 Cd 3.03-3.25
In: 0.5000 0.8885 0.1115  3 In 3.01-3.20, 4 Cd 3.03-3.25
In: 0.6308 0.6308 0.8747  4 Cd 3.05-3.30, 4 In 3.20-3.29
In: 0.6308 0.8747 0.6308  4 Cd 3.05-3.30, 4 In 3.20-3.29
In: 0.8747 0.6308 0.6308  4 Cd 3.05-3.30, 4 In 3.20-3.29
In: 0.8885 0.1115 0.5000  3 In 3.01-3.20, 4 Cd 3.03-3.25
In: 0.8885 0.5000 0.1115  3 In 3.01-3.20, 4 Cd 3.03-3.25

=====

5.
A geometry-optimized CaHf2Ru structure, computed with PBE.

abc: 6.8615 6.8615 6.8615
angles: 90.00 90.00 90.00
With the nearest neighbours (Å) after each atom.
Fractional coordinates of all 16 atoms:
Ca: 0.0000 0.0000 0.0000  8 Hf 2.97
Ca: 0.0000 0.5000 0.5000  8 Hf 2.97
Ca: 0.5000 0.0000 0.5000  8 Hf 2.97
Ca: 0.5000 0.5000 0.0000  8 Hf 2.97
Hf: 0.2500 0.2500 0.2500  4 Ca 2.97, 4 Ru 2.97
Hf: 0.2500 0.2500 0.7500  4 Ru 2.97, 4 Ca 2.97
Hf: 0.2500 0.7500 0.2500  4 Ru 2.97, 4 Ca 2.97
Hf: 0.2500 0.7500 0.7500  4 Ca 2.97, 4 Ru 2.97
Hf: 0.7500 0.2500 0.2500  4 Ru 2.97, 4 Ca 2.97
Hf: 0.7500 0.2500 0.7500  4 Ca 2.97, 4 Ru 2.97
Hf: 0.7500 0.7500 0.2500  4 Ca 2.97, 4 Ru 2.97
Hf: 0.7500 0.7500 0.7500  4 Ru 2.97, 4 Ca 2.97
Ru: 0.0000 0.0000 0.5000  8 Hf 2.97
Ru: 0.0000 0.5000 0.0000  8 Hf 2.97
Ru: 0.5000 0.0000 0.0000  8 Hf 2.97
Ru: 0.5000 0.5000 0.5000  8 Hf 2.97

## Properties
Polymorph energy (0 for the lowest one) = 0.000 eV/atom

=====

6.
A geometry-optimized Tm4Se3N2 structure, computed with PBE.

abc: 6.8541 6.8541 10.1275
angles: 127.34 127.34 32.77
With the nearest neighbours (Å) after each atom.
Fractional coordinates of all 9 atoms:
Tm: 0.0575 0.0575 0.3466  1 N 2.13
Tm: 0.2600 0.2600 0.1409  3 N 2.20-2.30
Tm: 0.7400 0.7400 0.8591  3 N 2.20-2.30
Tm: 0.9425 0.9425 0.6534  1 N 2.13
Se: 0.3308 0.3308 0.7254  4 Tm 2.79-3.01
Se: 0.5000 0.5000 0.5000  6 Tm 2.87-2.94
Se: 0.6692 0.6692 0.2746  4 Tm 2.79-3.01
N: 0.1470 0.1470 0.8633  4 Tm 2.13-2.30
N: 0.8530 0.8530 0.1367  4 Tm 2.13-2.30

## Properties
ΔE_f (raw) = -16.6 eV per formula unit
Polymorph energy (0 for the lowest one) = 0.000 eV/atom

=====

7.
A geometry-optimized Ce12MgRu7 structure, computed with PBE.

abc: 8.3922 8.3922 8.3922
angles: 110.07 110.07 110.07
With the nearest neighbours (Å) after each atom.
Fractional coordinates of all 20 atoms:
Ce: 0.1006 0.3041 0.4193  3 Ru 2.76-3.06, 1 Ce 2.93
Ce: 0.1776 0.6935 0.3525  3 Ru 2.69-2.97, 1 Ce 2.93
Ce: 0.3041 0.4193 0.1006  3 Ru 2.76-3.06, 1 Ce 2.93
Ce: 0.3065 0.6475 0.8224  3 Ru 2.69-2.97, 1 Ce 2.93
Ce: 0.3525 0.1776 0.6935  3 Ru 2.69-2.97, 1 Ce 2.93
Ce: 0.4193 0.1006 0.3041  3 Ru 2.76-3.06, 1 Ce 2.93
Ce: 0.5807 0.8994 0.6959  3 Ru 2.76-3.06, 1 Ce 2.93
Ce: 0.6475 0.8224 0.3065  3 Ru 2.69-2.97, 1 Ce 2.93
Ce: 0.6935 0.3525 0.1776  3 Ru 2.69-2.97, 1 Ce 2.93
Ce: 0.6959 0.5807 0.8994  3 Ru 2.76-3.06, 1 Ce 2.93
Ce: 0.8224 0.3065 0.6475  3 Ru 2.69-2.97, 1 Ce 2.93
Ce: 0.8994 0.6959 0.5807  3 Ru 2.76-3.06, 1 Ce 2.93
Mg: 0.0000 0.0000 0.0000  6 Ru 2.91, 6 Ce 3.15
Ru: 0.0300 0.9269 0.3215  4 Ce 2.69-2.97, 1 Mg 2.91
Ru: 0.0731 0.6785 0.9700  4 Ce 2.69-2.97, 1 Mg 2.91
Ru: 0.3215 0.0300 0.9269  4 Ce 2.69-2.97, 1 Mg 2.91
Ru: 0.5000 0.5000 0.5000  6 Ce 2.88
Ru: 0.6785 0.9700 0.0731  4 Ce 2.69-2.97, 1 Mg 2.91
Ru: 0.9269 0.3215 0.0300  4 Ce 2.69-2.97, 1 Mg 2.91
Ru: 0.9700 0.0731 0.6785  4 Ce 2.69-2.97, 1 Mg 2.91

=====

8.
A geometry-optimized Na2AcCd9 structure, computed with PBE.

abc: 10.2829 10.2829 10.2829
angles: 34.22 34.22 34.22
With the nearest neighbours (Å) after each atom.
Fractional coordinates of all 12 atoms:
Na: 0.1435 0.1435 0.1435  12 Cd 3.46-3.56, 3 Na 3.74
Na: 0.8565 0.8565 0.8565  12 Cd 3.46-3.56, 3 Na 3.74
Ac: 0.0000 0.0000 0.0000  6 Cd 3.49
Cd: 0.0784 0.5891 0.5891  7 Cd 2.95-3.09
Cd: 0.3350 0.3350 0.3350  6 Cd 3.02-3.05
Cd: 0.4109 0.4109 0.9216  7 Cd 2.95-3.09
Cd: 0.4109 0.9216 0.4109  7 Cd 2.95-3.09
Cd: 0.5000 0.5000 0.5000  6 Cd 2.95
Cd: 0.5891 0.0784 0.5891  7 Cd 2.95-3.09
Cd: 0.5891 0.5891 0.0784  7 Cd 2.95-3.09
Cd: 0.6650 0.6650 0.6650  6 Cd 3.02-3.05
Cd: 0.9216 0.4109 0.4109  7 Cd 2.95-3.09

=====

| no. | calculated density (g/cm³) | DOS(E_F) (states/eV/cell) | total DFT energy (no corrections) (eV per atom) |
| --- | --- | --- | --- |
| 1 | 6.040 | 0.00 | -8.696 |
| 2 | 5.550 | 4.47 | -3.556 |
| 3 | 4.481 | 5.61 | -8.210 |
| 4 | 6.638 | 9.14 | -2.094 |
| 5 | 10.242 | 20.58 | -7.645 |
| 6 | 7.828 | 0.00 | -6.844 |
| 7 | 9.013 | 40.97 | -7.117 |
| 8 | 6.957 | 7.71 | -1.401 |